A relaxed structure of GeTe. Source: the Alexandria database, functional GGA-PBE.

```
data_GeTe
_cell_length_a 8.199
_cell_length_b 8.199
_cell_length_c 8.199
_cell_angle_alpha 90.00
_cell_angle_beta 90.00
_cell_angle_gamma 90.00
_symmetry_space_group_name_H-M 'P 1'
_symmetry_Int_Tables_number 1
_symmetry_space_group_name_Hall 'P 1'
loop_
_atom_site_label
_atom_site_type_symbol
_atom_site_fract_x
_atom_site_fract_y
_atom_site_fract_z
_atom_site_occupancy
Ge1 Ge 0.000 0.250 0.500 1
Ge2 Ge 0.000 0.750 0.500 1
Ge3 Ge 0.250 0.500 0.000 1
Ge4 Ge 0.500 0.000 0.250 1
Ge5 Ge 0.500 0.000 0.750 1
Ge6 Ge 0.750 0.500 0.000 1
Te1 Te 0.000 0.500 0.250 1
Te2 Te 0.000 0.500 0.750 1
Te3 Te 0.250 0.000 0.500 1
Te4 Te 0.500 0.250 0.000 1
Te5 Te 0.500 0.750 0.000 1
Te6 Te 0.750 0.000 0.500 1
```

Summary:
Its total energy is -3.723 eV/atom. As for the formation energy without anion corrections: 157 meV/atom. The symmetry is Pm-3n (223).